1.
Density functional theory data (GGA-PBEsol) for a relaxed structure of Ba2SrCl2.

Calculated values
Raw formation energy ... -129 kJ/mol of atoms
Crystal system ... tetragonal
Calculated volume ... 45.7 Å³/atom

a = 9.2752 Å, b = 9.2752 Å, c = 9.2752 Å
α = 147.56°, β = 147.56°, γ = 46.53°
Element x y z (fractional)
Ba 0.1491 0.1491 0.0000
Ba 0.8509 0.8509 0.0000
Sr 0.5000 0.5000 0.0000
Cl 0.2500 0.7500 0.5000
Cl 0.7500 0.2500 0.5000

=====

2.
Density functional theory data (GGA-PBEsol) for a relaxed structure of MoS3Br.

Calculated values
Raw formation energy ... 141 kJ/mol of atoms
Crystal system ... cubic
Calculated volume ... 21.1 Å³/atom

a = 4.7250 Å, b = 4.7250 Å, c = 4.7250 Å
α = 90.00°, β = 90.00°, γ = 90.00°
Element x y z (fractional)
Mo 0.0000 0.0000 0.0000
S 0.0000 0.5000 0.5000
S 0.5000 0.0000 0.5000
S 0.5000 0.5000 0.0000
Br 0.5000 0.5000 0.5000

=====

3.
Density functional theory data (GGA-PBEsol) for a relaxed structure of CoTcNi2Ru.

Calculated values
Crystal system ... tetragonal
Energy of formation from the pure elements ... 1.865 eV/atom
Calculated volume ... 17.0 Å³/atom

a = 4.3643 Å, b = 4.3643 Å, c = 4.4532 Å
α = 90.00°, β = 90.00°, γ = 90.00°
Element x y z (fractional)
Co 0.0000 0.0000 0.0000
Tc 0.5000 0.5000 0.0000
Ni 0.0000 0.5000 0.5000
Ni 0.5000 0.0000 0.5000
Ru 0.5000 0.5000 0.5000

=====

4.
Density functional theory data (GGA-PBEsol) for a relaxed structure of K2ScAgI6.

Calculated values
Raw formation energy ... -101 kJ/mol of atoms
Crystal system ... cubic
Calculated volume ... 38.5 Å³/atom

a = 8.1655 Å, b = 8.1655 Å, c = 8.1655 Å
α = 60.00°, β = 60.00°, γ = 60.00°
Element x y z (fractional)
K 0.2500 0.2500 0.2500
K 0.7500 0.7500 0.7500
Sc 0.0000 0.0000 0.0000
Ag 0.5000 0.5000 0.5000
I 0.2469 0.2469 0.7531
I 0.2469 0.7531 0.2469
I 0.2469 0.7531 0.7531
I 0.7531 0.2469 0.2469
I 0.7531 0.2469 0.7531
I 0.7531 0.7531 0.2469

=====

5.
Density functional theory data (GGA-PBEsol) for a relaxed structure of BaAlW2.

Calculated values
Crystal system ... tetragonal
Energy of formation from the pure elements ... 1.502 eV/atom
Calculated volume ... 19.6 Å³/atom

a = 5.3385 Å, b = 5.3385 Å, c = 5.3385 Å
α = 133.57°, β = 133.57°, γ = 67.76°
Element x y z (fractional)
Ba 0.0000 0.0000 0.0000
Al 0.5000 0.5000 0.0000
W 0.2500 0.7500 0.5000
W 0.7500 0.2500 0.5000

=====

6.
Density functional theory data (GGA-PBEsol) for a relaxed structure of Mo2IrOs.

Calculated values
Crystal system ... orthorhombic
Energy of formation from the pure elements ... -0.124 eV/atom
Energy above the most stable polymorph in this dataset ... 18 meV/atom
Calculated volume ... 14.6 Å³/atom

a = 2.7339 Å, b = 3.8834 Å, c = 5.4849 Å
α = 90.00°, β = 90.00°, γ = 90.00°
Element x y z (fractional)
Mo 0.0000 0.0000 0.2469
Mo 0.0000 0.0000 0.7531
Ir 0.5000 0.5000 0.5000
Os 0.5000 0.5000 0.0000